Record 1
# Ac3Ge2Au, relaxed, DFT GGA-PBE
data_Ac3Ge2Au
_cell_length_a 7.9154
_cell_length_b 7.9154
_cell_length_c 7.9154
_cell_angle_alpha 66.39
_cell_angle_beta 66.39
_cell_angle_gamma 66.39
_symmetry_space_group_name_H-M 'P 1'
_symmetry_Int_Tables_number 1
_symmetry_space_group_name_Hall 'P 1'
loop_
_atom_site_label
_atom_site_type_symbol
_atom_site_fract_x
_atom_site_fract_y
_atom_site_fract_z
Ac1 Ac 0.4473 0.0527 0.7500
Ac2 Ac 0.0527 0.7500 0.4473
Ac3 Ac 0.7500 0.4473 0.0527
Ac4 Ac 0.5527 0.9473 0.2500
Ac5 Ac 0.9473 0.2500 0.5527
Ac6 Ac 0.2500 0.5527 0.9473
Ge1 Ge 0.3564 0.3564 0.3564
Ge2 Ge 0.1436 0.1436 0.1436
Ge3 Ge 0.8564 0.8564 0.8564
Ge4 Ge 0.6436 0.6436 0.6436
Au1 Au 0.5000 0.5000 0.5000
Au2 Au 0.0000 0.0000 0.0000
# Energy relative to the elements   -625 meV per atom



Record 2
# Ac2GeAu2, relaxed, DFT GGA-PBE
data_Ac2GeAu2
_cell_length_a 4.4907
_cell_length_b 6.2835
_cell_length_c 11.0561
_cell_angle_alpha 84.02
_cell_angle_beta 78.28
_cell_angle_gamma 69.06
_symmetry_space_group_name_H-M 'P 1'
_symmetry_Int_Tables_number 1
_symmetry_space_group_name_Hall 'P 1'
loop_
_atom_site_label
_atom_site_type_symbol
_atom_site_fract_x
_atom_site_fract_y
_atom_site_fract_z
Ac1 Ac 0.6867 0.2593 0.3673
Ac2 Ac 0.9122 0.2820 0.8936
Ac3 Ac 0.3133 0.7407 0.6327
Ac4 Ac 0.0878 0.7180 0.1064
Ge1 Ge 0.5918 0.1379 0.6785
Ge2 Ge 0.4082 0.8621 0.3215
Au1 Au 0.0423 0.3239 0.5916
Au2 Au 0.6397 0.8347 0.8859
Au3 Au 0.9577 0.6761 0.4084
Au4 Au 0.3603 0.1653 0.1141
# Energy relative to the elements   -786 meV per atom